No. 1
Below is a relaxed YTlN crystal, with properties calculated at the PBE level.

Cell lengths 3.6324, 7.2696, 15.5124 Å; angles 105.64, 90.00, 90.00 degrees
Atoms (fractional coordinates):
Y  0.2499  0.3269  0.9165
Y  0.7499  0.1731  0.0835
Y  0.7501  0.6731  0.0835
Y  0.2501  0.8269  0.9165
Tl  0.2503  0.5001  0.2174
Tl  0.2497  0.0001  0.2174
Tl  0.7497  0.4999  0.7826
Tl  0.7503  0.9999  0.7826
N  0.4362  0.9383  0.4752
N  0.0638  0.4383  0.4752
N  0.5638  0.0617  0.5248
N  0.9362  0.5617  0.5248

Calculated values
Formation energy without anion corrections (meV/atom): 53
M_tot (μB per formula unit): 0.000
Energy (eV for the cell shown): -67.99
D(E_F) (states/eV/f.u.): 1.88

***

No. 2
Below is a relaxed Y2TlN crystal, with properties calculated at the PBE level.

Cell lengths 6.9309, 6.9309, 6.3990 Å; angles 57.21, 57.21, 90.00 degrees
Atoms (fractional coordinates):
Y  0.5193  0.1250  0.2500
Y  0.2307  0.6250  0.2500
Y  0.3750  0.4807  0.7500
Y  0.8750  0.7693  0.7500
Tl  0.0000  0.0000  0.0000
Tl  0.7500  0.2500  0.5000
N  0.5000  0.5000  0.0000
N  0.2500  0.7500  0.5000

Calculated values
Formation energy without anion corrections (meV/atom): -784
M_tot (μB per formula unit): 0.000
Energy (eV for the cell shown): -53.51
D(E_F) (states/eV/f.u.): 0.16

***

No. 3
Below is a relaxed Y3TlN crystal, with properties calculated at the PBE level.

Cell lengths 4.7945, 6.8129, 7.8167 Å; angles 64.19, 90.00, 90.00 degrees
Atoms (fractional coordinates):
Y  0.3695  0.7452  0.9065
Y  0.8695  0.1162  0.6454
Y  0.8695  0.8758  0.1453
Y  0.8695  0.3758  0.1453
Y  0.8695  0.6354  0.6452
Y  0.3695  0.0063  0.3841
Tl  0.3695  0.5047  0.3874
Tl  0.3695  0.2468  0.9031
N  0.8695  0.0036  0.3899
N  0.8695  0.7480  0.9007

Calculated values
Formation energy without anion corrections (meV/atom): -890
M_tot (μB per formula unit): 0.000
Energy (eV for the cell shown): -69.07
D(E_F) (states/eV/f.u.): 3.11